Entry 1
Entry from Alexandria: Y4CdAg after structural relaxation (PBE).

Cell lengths 8.900, 8.900, 8.900 Å; angles 90.00, 90.00, 90.00 degrees
Space group F-43m (No. 216)
Asymmetric unit:
Y 0.125 0.125 0.125 x16
Cd 0.000 0.000 0.500 x4
Ag 0.250 0.250 0.750 x4

---

Entry 2
Entry from Alexandria: Y4CdAg after structural relaxation (PBE).

Cell lengths 3.623, 3.623, 12.787 Å; angles 90.00, 90.00, 90.00 degrees
Space group P4/mmm (No. 123)
Asymmetric unit:
Y 0.000 0.000 0.144 x2
Y 0.500 0.500 0.341 x2
Cd 0.000 0.000 0.500 x1
Ag 0.500 0.500 0.000 x1

---

Entry 3
Entry from Alexandria: Y4CdAg after structural relaxation (PBE).

Cell lengths 5.082, 5.082, 7.246 Å; angles 90.00, 90.00, 90.00 degrees
Space group P4/mmm (No. 123)
Asymmetric unit:
Y 0.000 0.500 0.244 x4
Cd 0.000 0.000 0.500 x1
Ag 0.500 0.500 0.000 x1

---

The computed energies, referenced to the most stable structure and given in meV/atom, are entry 1 586; entry 2 0; entry 3 251.

---

Entry 1
Entry from Alexandria: Y3Cd2Ag4 after structural relaxation (PBE).

Cell lengths 10.915, 4.817, 9.058 Å; angles 90.00, 119.74, 90.00 degrees
Space group C2/m (No. 12)
Asymmetric unit:
Y 0.000 0.000 0.000 x2
Y 0.158 0.500 0.679 x4
Cd 0.129 0.500 0.295 x4
Ag 0.062 0.000 0.396 x4
Ag 0.226 0.500 0.060 x4

---

Entry 2
Entry from Alexandria: Y3Cd2Ag4 after structural relaxation (PBE).

Cell lengths 8.775, 5.064, 9.191 Å; angles 90.00, 90.10, 90.00 degrees
Space group C2/m (No. 12)
Asymmetric unit:
Y 0.000 0.000 0.000 x2
Y 0.167 0.500 0.400 x4
Cd 0.167 0.500 0.765 x4
Ag 0.000 0.000 0.342 x4
Ag 0.167 0.500 0.075 x4

---

The computed energies, referenced to the most stable structure and given in meV/atom, are entry 1 0; entry 2 30.

---

Entry 1
Entry from Alexandria: YCd6Ag after structural relaxation (PBE).

Cell lengths 4.656, 4.656, 8.228 Å; angles 90.00, 90.00, 90.00 degrees
Space group P4/mmm (No. 123)
Asymmetric unit:
Y 0.000 0.000 0.000 x1
Cd 0.000 0.500 0.265 x4
Cd 0.500 0.500 0.000 x1
Cd 0.500 0.500 0.500 x1
Ag 0.000 0.000 0.500 x1

---

Entry 2
Entry from Alexandria: YCd6Ag after structural relaxation (PBE).

Cell lengths 4.856, 6.076, 12.465 Å; angles 90.00, 90.00, 90.00 degrees
Space group Amm2 (No. 38)
Asymmetric unit:
Y 0.000 0.000 0.000 x2
Cd 0.000 0.239 0.736 x4
Cd 0.500 0.000 0.162 x2
Cd 0.500 0.000 0.599 x2
Cd 0.500 0.244 0.884 x4
Ag 0.000 0.000 0.440 x2

---

The computed energies, referenced to the most stable structure and given in meV/atom, are entry 1 0; entry 2 45.

---

Entry 1
Entry from Alexandria: Y2CdAg2 after structural relaxation (PBE).

Cell lengths 8.462, 8.462, 3.581 Å; angles 90.00, 90.00, 90.00 degrees
Space group P4/mbm (No. 127)
Asymmetric unit:
Y 0.159 0.341 0.000 x4
Cd 0.000 0.000 0.000 x2
Ag 0.132 0.632 0.500 x4

---

Entry 2
Entry from Alexandria: Y2CdAg2 after structural relaxation (PBE).

Cell lengths 7.856, 7.856, 3.928 Å; angles 90.00, 90.00, 90.00 degrees
Space group P4/mbm (No. 127)
Asymmetric unit:
Y 0.173 0.327 0.000 x4
Cd 0.000 0.000 0.500 x2
Ag 0.127 0.627 0.500 x4

---

The computed energies, referenced to the most stable structure and given in meV/atom, are entry 1 212; entry 2 0.

---

Entry 1
Entry from Alexandria: Y2CdAg2 after structural relaxation (PBE).

Cell lengths 5.689, 5.689, 8.184 Å; angles 90.00, 90.00, 90.00 degrees
Space group I4/mmm (No. 139)
Asymmetric unit:
Y 0.000 0.500 0.250 x4
Cd 0.000 0.000 0.000 x2
Ag 0.000 0.000 0.345 x4

---

Entry 2
Entry from Alexandria: Y2CdAg2 after structural relaxation (PBE).

Cell lengths 3.843, 3.843, 17.292 Å; angles 90.00, 90.00, 90.00 degrees
Space group I4/mmm (No. 139)
Asymmetric unit:
Y 0.000 0.000 0.106 x4
Cd 0.000 0.000 0.500 x2
Ag 0.000 0.500 0.250 x4

---

The computed energies, referenced to the most stable structure and given in meV/atom, are entry 1 35; entry 2 0.

---

Entry 1
Entry from Alexandria: Y4CdAg3 after structural relaxation (PBE).

Cell lengths 3.690, 4.866, 11.330 Å; angles 90.00, 90.00, 90.00 degrees
Space group Pmm2 (No. 25)
Asymmetric unit:
Y 0.000 0.000 0.000 x1
Y 0.000 0.500 0.282 x1
Y 0.500 0.000 0.486 x1
Y 0.500 0.500 0.791 x1
Cd 0.000 0.000 0.718 x1
Ag 0.000 0.500 0.560 x1
Ag 0.500 0.000 0.218 x1
Ag 0.500 0.500 0.063 x1

---

Entry 2
Entry from Alexandria: Y4CdAg3 after structural relaxation (PBE).

Cell lengths 3.663, 5.203, 10.389 Å; angles 90.00, 90.00, 90.00 degrees
Space group Pmmm (No. 47)
Asymmetric unit:
Y 0.000 0.000 0.000 x1
Y 0.000 0.000 0.500 x1
Y 0.000 0.500 0.245 x2
Cd 0.500 0.500 0.500 x1
Ag 0.500 0.000 0.253 x2
Ag 0.500 0.500 0.000 x1

---

The computed energies, referenced to the most stable structure and given in meV/atom, are entry 1 44; entry 2 0.

---

Entry 1
Entry from Alexandria: YCd6Ag4 after structural relaxation (PBE).

Cell lengths 7.176, 7.176, 10.309 Å; angles 90.00, 90.00, 90.00 degrees
Space group I-42m (No. 121)
Asymmetric unit:
Y 0.000 0.000 0.000 x2
Cd 0.000 0.500 0.000 x4
Cd 0.169 0.169 0.285 x8
Ag 0.177 0.177 0.568 x8

---

Entry 2
Entry from Alexandria: YCd6Ag4 after structural relaxation (PBE).

Cell lengths 9.0234, 9.0234, 3.4540 Å; angles 90.00, 90.00, 120.00 degrees
Space group P-6m2 (No. 187)
Asymmetric unit:
Y 0.0000 0.0000 0.0000 x1
Cd 0.1854 0.3709 0.5000 x3
Cd 0.5294 0.0588 0.0000 x3
Ag 0.3333 0.6667 0.0000 x1
Ag 0.3482 0.1741 0.5000 x3

---

The computed energies, referenced to the most stable structure and given in meV/atom, are entry 1 74; entry 2 0.

---

Entry 1
Entry from Alexandria: Y3Cd4Ag4 after structural relaxation (PBE).

Cell lengths 3.994, 8.055, 16.083 Å; angles 90.00, 90.00, 90.00 degrees
Space group Immm (No. 71)
Asymmetric unit:
Y 0.000 0.000 0.000 x2
Y 0.000 0.500 0.116 x4
Cd 0.000 0.309 0.336 x8
Ag 0.000 0.000 0.241 x4
Ag 0.000 0.187 0.500 x4

---

Entry 2
Entry from Alexandria: Y3Cd4Ag4 after structural relaxation (PBE).

Cell lengths 3.431, 4.781, 15.607 Å; angles 81.20, 83.72, 89.95 degrees
Space group P-1 (No. 2)
Asymmetric unit:
Y 0.000 0.000 0.000 x1
Y 0.141 0.640 0.720 x2
Cd 0.264 0.264 0.471 x2
Cd 0.406 0.907 0.185 x2
Ag 0.316 0.816 0.368 x2
Ag 0.454 0.454 0.091 x2

---

The computed energies, referenced to the most stable structure and given in meV/atom, are entry 1 24; entry 2 0.

---

Entry 1
Entry from Alexandria: YCd6Ag2 after structural relaxation (PBE).

Cell lengths 15.018, 8.386, 3.273 Å; angles 90.00, 102.44, 90.00 degrees
Space group C2/m (No. 12)
Asymmetric unit:
Y 0.000 0.000 0.000 x2
Cd 0.000 0.331 0.500 x4
Cd 0.176 0.176 0.675 x8
Ag 0.146 0.500 0.145 x4

---

Entry 2
Entry from Alexandria: YCd6Ag2 after structural relaxation (PBE).

Cell lengths 15.427, 11.017, 4.831 Å; angles 90.00, 90.00, 90.00 degrees
Space group Cmcm (No. 63)
Asymmetric unit:
Y 0.000 0.207 0.250 x4
Cd 0.093 0.356 0.750 x8
Cd 0.105 0.076 0.750 x8
Cd 0.211 0.164 0.250 x8
Ag 0.186 0.421 0.250 x8

---

The computed energies, referenced to the most stable structure and given in meV/atom, are entry 1 19; entry 2 0.

---

Entry 1
Entry from Alexandria: ZnCd2Ag5 after structural relaxation (PBE).

Cell lengths 5.801, 11.666, 4.308 Å; angles 90.00, 90.00, 90.00 degrees
Space group Pbam (No. 55)
Asymmetric unit:
Zn 0.000 0.000 0.000 x2
Cd 0.219 0.369 0.500 x4
Ag 0.000 0.500 0.000 x2
Ag 0.029 0.755 0.000 x4
Ag 0.219 0.116 0.500 x4

---

Entry 2
Entry from Alexandria: ZnCd2Ag5 after structural relaxation (PBE).

Cell lengths 6.140, 6.140, 4.793 Å; angles 90.00, 90.00, 90.00 degrees
Space group P4/mmm (No. 123)
Asymmetric unit:
Zn 0.000 0.000 0.000 x1
Cd 0.000 0.500 0.500 x2
Ag 0.000 0.000 0.500 x1
Ag 0.282 0.282 0.000 x4

---

The computed energies, referenced to the most stable structure and given in meV/atom, are entry 1 0; entry 2 324.